[1]
This record from Alexandria via LeMat-Bulk describes a relaxed structure of InTcO2F. The functional is GGA-PBE.

Cell and atoms, written as POSCAR:
```
InTcO2F
1.0
4.2723 0.0000 0.0000
0.0000 4.2723 0.0000
0.0000 0.0000 4.0953
In Tc O F
1 1 2 1
Cartesian
0.0000 0.0000 0.0000
2.1362 2.1362 2.0476
0.0000 2.1362 0.0000
2.1362 0.0000 0.0000
0.0000 0.0000 2.0476
```

Values from the calculation:
Its theoretical density is 5.86 g/cm3. As for the space group: P4/mmm, No. 123.


[2]
This record from Alexandria via LeMat-Bulk describes a relaxed structure of Pr2TlS4. The functional is GGA-PBE.

Cell and atoms, written as POSCAR:
```
Pr2TlS4
1.0
7.7197 0.0000 0.0000
0.0000 7.4335 0.0000
-1.7296 0.0000 7.5327
Pr Tl S
4 2 8
Cartesian
1.0961 1.8584 0.2536
0.3593 1.8584 4.0267
5.6309 5.5751 3.5060
4.8941 5.5751 7.2790
1.0929 5.5751 6.3742
4.8973 1.8584 1.1585
-1.1898 3.7528 5.6345
-1.1898 7.3975 5.6345
2.6501 1.8584 2.5521
1.7736 1.8584 6.4114
4.2165 5.5751 1.1212
3.3401 5.5751 4.9806
7.1800 0.0360 1.8982
7.1800 3.6807 1.8982
```

Values from the calculation:
Its theoretical density is 4.72 g/cm3. As for the space group: P2_1/m, No. 11.


[3]
This record from Alexandria via LeMat-Bulk describes a relaxed structure of K2LaSe. The functional is GGA-PBE.

Cell and atoms, written as POSCAR:
```
K2LaSe
1.0
3.2061 -7.1839 0.0000
3.2061 7.1839 0.0000
-3.1539 0.0000 3.2573
K La Se
2 1 1
Cartesian
1.6030 3.5920 0.0000
1.6030 -3.5920 0.0000
-1.5769 0.0000 1.6286
1.6292 0.0000 1.6286
```

Values from the calculation:
Its theoretical density is 3.28 g/cm3. As for the space group: C2/m, No. 12.


| no. | ΔE_f (raw) (eV per atom) | raw total energy (eV per atom) | M_tot (μB/cell) |
| --- | --- | --- | --- |
| 1 | -0.541 | -5.52 | 5.003 |
| 2 | -1.289 | -5.35 | 0.000 |
| 3 | -0.335 | -2.99 | 0.011 |